Here is a relaxed structure of YMg6NbO8 from Alexandria. Energies are from PBE.

It has space group P4/mmm (No. 123), with a = 4.4187 Å, b = 4.4187 Å, c = 8.9130 Å, α = 90.00°, β = 90.00° and γ = 90.00°. The distinct sites, in fractional coordinates, are Y at (0.0000, 0.0000, 0.0000), Mg at (0.0000, 0.0000, 0.5000), Mg at (0.0000, 0.5000, 0.2645), Mg at (0.5000, 0.5000, 0.5000), Nb at (0.5000, 0.5000, 0.0000), O at (0.0000, 0.0000, 0.2651), O at (0.0000, 0.5000, 0.0000), O at (0.0000, 0.5000, 0.5000) and O at (0.5000, 0.5000, 0.2670).

The formation energy (no corrections) is -2395 meV per atom. For the total energy, the calculation gives -6.51 eV per atom. The density of states at the Fermi level comes out at 1.21 states/eV/f.u. The calculation puts the energy above the lowest structure with this stoichiometry at 0 meV per atom.